AgP2WI PBE-GGA relaxed; SG = P4/mmm, No. 123; E_form (uncorrected) = 1.750 eV per atom; total magnetization = 2.755 μB/cell
1.0
4.664 0.000 0.000
0.000 4.664 0.000
0.000 0.000 5.693
Ag P W I
1 2 1 1
direct
0.000 0.000 0.000 Ag
0.000 0.500 0.000 P
0.500 0.000 0.000 P
0.000 0.000 0.500 W
0.500 0.500 0.500 I